(1)
! NdAl4Co, optimized geometry, DFT PBEsol; values from VASP
&SYSTEM
  ibrav = 0, nat = 12, ntyp = 3
/
ATOMIC_SPECIES
Nd 144.24 Nd.upf
Al 26.98 Al.upf
Co 58.93 Co.upf
CELL_PARAMETERS angstrom
7.6170 0.0000 0.0000
0.0000 3.9920 0.0000
0.0000 0.0000 6.8098
ATOMIC_POSITIONS crystal
Nd 0.2500 0.0000 0.1158
Nd 0.7500 0.0000 0.8842
Al 0.0000 0.0000 0.5000
Al 0.0700 0.5000 0.8011
Al 0.2500 0.5000 0.4579
Al 0.4300 0.5000 0.8011
Al 0.5000 0.0000 0.5000
Al 0.5700 0.5000 0.1989
Al 0.7500 0.5000 0.5421
Al 0.9300 0.5000 0.1989
Co 0.2500 0.0000 0.6855
Co 0.7500 0.0000 0.3145
! - energy of formation (meV per atom) = -522
! - magnetization (Bohr magnetons per cell) = 0.0
! - symmetry = Pmma, No. 51
! - electronic total energy (eV/atom) = -5.4005

---

(2)
! CrNi6Mo, optimized geometry, DFT PBEsol; values from VASP
&SYSTEM
  ibrav = 0, nat = 32, ntyp = 3
/
ATOMIC_SPECIES
Cr 52.00 Cr.upf
Ni 58.69 Ni.upf
Mo 95.94 Mo.upf
CELL_PARAMETERS angstrom
3.5511 -5.0158 0.0000
3.5511 5.0158 0.0000
0.0000 0.0000 10.0347
ATOMIC_POSITIONS crystal
Cr 0.0000 0.0000 0.2455
Cr 0.0000 0.0000 0.7545
Cr 0.2515 0.7485 0.0000
Cr 0.7485 0.2515 0.0000
Ni 0.0000 0.0000 0.0000
Ni 0.0000 0.0000 0.5000
Ni 0.1255 0.3754 0.1249
Ni 0.1252 0.3747 0.3749
Ni 0.1252 0.3747 0.6251
Ni 0.1255 0.3754 0.8751
Ni 0.2500 0.7500 0.2507
Ni 0.2500 0.7500 0.7493
Ni 0.3754 0.1255 0.1249
Ni 0.3747 0.1252 0.3749
Ni 0.3747 0.1252 0.6251
Ni 0.3754 0.1255 0.8751
Ni 0.5000 0.5000 0.0000
Ni 0.5000 0.5000 0.5000
Ni 0.6246 0.8745 0.1249
Ni 0.6253 0.8748 0.3749
Ni 0.6253 0.8748 0.6251
Ni 0.6246 0.8745 0.8751
Ni 0.7500 0.2500 0.2507
Ni 0.7500 0.2500 0.7493
Ni 0.8745 0.6246 0.1249
Ni 0.8748 0.6253 0.3749
Ni 0.8748 0.6253 0.6251
Ni 0.8745 0.6246 0.8751
Mo 0.2515 0.7485 0.5000
Mo 0.5000 0.5000 0.2444
Mo 0.5000 0.5000 0.7556
Mo 0.7485 0.2515 0.5000
! - energy of formation (meV per atom) = 9
! - magnetization (Bohr magnetons per cell) = 16.5
! - symmetry = Cmmm, No. 65
! - electronic total energy (eV/atom) = -7.3600

---

(3)
! La2Hf2F, optimized geometry, DFT PBEsol; values from VASP
&SYSTEM
  ibrav = 0, nat = 5, ntyp = 3
/
ATOMIC_SPECIES
La 138.91 La.upf
Hf 178.49 Hf.upf
F 19.00 F.upf
CELL_PARAMETERS angstrom
-1.9436 1.9436 8.9139
1.9436 -1.9436 8.9139
1.9436 1.9436 -8.9139
ATOMIC_POSITIONS crystal
La 0.0994 0.0994 0.0000
La 0.9006 0.9006 0.0000
Hf 0.2500 0.7500 0.5000
Hf 0.7500 0.2500 0.5000
F 0.5000 0.5000 0.0000
! - raw formation energy (eV/atom) = -0.242
! - magnetization (Bohr magnetons per cell) = 0.0
! - symmetry = I4/mmm, No. 139
! - electronic total energy (eV/atom) = -6.9669

---

(4)
! GeRuSe2Br, optimized geometry, DFT PBEsol; values from VASP
&SYSTEM
  ibrav = 0, nat = 5, ntyp = 4
/
ATOMIC_SPECIES
Ge 72.64 Ge.upf
Ru 101.07 Ru.upf
Se 78.96 Se.upf
Br 79.90 Br.upf
CELL_PARAMETERS angstrom
4.8880 0.0000 0.0000
0.0000 4.8880 0.0000
0.0000 0.0000 5.0334
ATOMIC_POSITIONS crystal
Ge 0.0000 0.0000 0.0000
Ru 0.5000 0.5000 0.5000
Se 0.0000 0.5000 0.0000
Se 0.5000 0.0000 0.0000
Br 0.0000 0.0000 0.5000
! - raw formation energy (eV/atom) = 1.043
! - magnetization (Bohr magnetons per cell) = 3.6
! - symmetry = P4/mmm, No. 123
! - electronic total energy (eV/atom) = -3.8936

---

(5)
! Dy2WO6, optimized geometry, DFT PBEsol; values from VASP
&SYSTEM
  ibrav = 0, nat = 36, ntyp = 3
/
ATOMIC_SPECIES
Dy 162.50 Dy.upf
W 183.84 W.upf
O 16.00 O.upf
CELL_PARAMETERS angstrom
7.8478 -5.4562 0.0000
7.8478 5.4562 0.0000
-1.3974 0.0000 5.1483
ATOMIC_POSITIONS crystal
Dy 0.0601 0.2860 0.8866
Dy 0.1090 0.8910 0.7500
Dy 0.2860 0.0601 0.3866
Dy 0.3760 0.6240 0.2500
Dy 0.6240 0.3760 0.7500
Dy 0.7140 0.9399 0.6134
Dy 0.8910 0.1090 0.2500
Dy 0.9399 0.7140 0.1134
W 0.1829 0.5021 0.5827
W 0.4979 0.8171 0.9173
W 0.5021 0.1829 0.0827
W 0.8171 0.4979 0.4173
O 0.0368 0.4706 0.2781
O 0.0786 0.1033 0.0801
O 0.1033 0.0786 0.5801
O 0.1502 0.6824 0.4205
O 0.1836 0.6229 0.9049
O 0.2231 0.3079 0.6406
O 0.3079 0.2231 0.1406
O 0.3176 0.8498 0.0795
O 0.3771 0.8164 0.5951
O 0.3783 0.4623 0.5319
O 0.4623 0.3783 0.0319
O 0.4706 0.0368 0.7781
O 0.5294 0.9632 0.2219
O 0.5377 0.6217 0.9681
O 0.6217 0.5377 0.4681
O 0.6229 0.1836 0.4049
O 0.6824 0.1502 0.9205
O 0.6921 0.7769 0.8594
O 0.7769 0.6921 0.3594
O 0.8164 0.3771 0.0951
O 0.8498 0.3176 0.5795
O 0.8967 0.9214 0.4199
O 0.9214 0.8967 0.9199
O 0.9632 0.5294 0.7219
! - raw formation energy (eV/atom) = -3.080
! - magnetization (Bohr magnetons per cell) = 0.0
! - symmetry = C2/c, No. 15
! - electronic total energy (eV/atom) = -9.2199

---

(6)
! Mg2Ir, optimized geometry, DFT PBEsol; values from VASP
&SYSTEM
  ibrav = 0, nat = 24, ntyp = 2
/
ATOMIC_SPECIES
Mg 24.30 Mg.upf
Ir 192.22 Ir.upf
CELL_PARAMETERS angstrom
0.0000 5.9267 5.9267
5.9267 0.0000 5.9267
5.9267 5.9267 0.0000
ATOMIC_POSITIONS crystal
Mg 0.0000 0.0000 0.0000
Mg 0.0000 0.0000 0.5000
Mg 0.0000 0.5000 0.0000
Mg 0.1743 0.1743 0.5757
Mg 0.1743 0.5757 0.1743
Mg 0.1743 0.5757 0.5757
Mg 0.4243 0.4243 0.8257
Mg 0.4243 0.8257 0.4243
Mg 0.4243 0.8257 0.8257
Mg 0.5000 0.0000 0.0000
Mg 0.5757 0.1743 0.1743
Mg 0.5757 0.1743 0.5757
Mg 0.5757 0.5757 0.1743
Mg 0.8257 0.4243 0.4243
Mg 0.8257 0.4243 0.8257
Mg 0.8257 0.8257 0.4243
Ir 0.1366 0.7878 0.7878
Ir 0.2122 0.2122 0.2122
Ir 0.2122 0.2122 0.8634
Ir 0.2122 0.8634 0.2122
Ir 0.7878 0.1366 0.7878
Ir 0.7878 0.7878 0.1366
Ir 0.7878 0.7878 0.7878
Ir 0.8634 0.2122 0.2122
! - energy of formation (meV per atom) = -274
! - magnetization (Bohr magnetons per cell) = 0.0
! - symmetry = Fd-3m, No. 227
! - electronic total energy (eV/atom) = -4.6932

---

(7)
! RbNaS2, optimized geometry, DFT PBEsol; values from VASP
&SYSTEM
  ibrav = 0, nat = 8, ntyp = 3
/
ATOMIC_SPECIES
Rb 85.47 Rb.upf
Na 22.99 Na.upf
S 32.06 S.upf
CELL_PARAMETERS angstrom
-2.5025 2.5025 9.0342
2.5025 -2.5025 9.0342
2.5025 2.5025 -9.0342
ATOMIC_POSITIONS crystal
Rb 0.0000 0.0000 0.0000
Rb 0.7500 0.2500 0.5000
Na 0.2500 0.7500 0.5000
Na 0.5000 0.5000 0.0000
S 0.3185 0.6250 0.1935
S 0.3750 0.5685 0.6935
S 0.4315 0.1250 0.8065
S 0.8750 0.6815 0.3065
! - raw formation energy (eV/atom) = -0.672
! - magnetization (Bohr magnetons per cell) = 0.0
! - symmetry = I-42d, No. 122
! - electronic total energy (eV/atom) = -3.4703

---

(8)
! RbYPd2Pb, optimized geometry, DFT PBEsol; values from VASP
&SYSTEM
  ibrav = 0, nat = 5, ntyp = 4
/
ATOMIC_SPECIES
Rb 85.47 Rb.upf
Y 88.91 Y.upf
Pd 106.42 Pd.upf
Pb 207.20 Pb.upf
CELL_PARAMETERS angstrom
5.1772 0.0000 0.0000
0.0000 5.1772 0.0000
0.0000 0.0000 5.9446
ATOMIC_POSITIONS crystal
Rb 0.0000 0.0000 0.0000
Y 0.5000 0.5000 0.5000
Pd 0.0000 0.5000 0.5000
Pd 0.5000 0.0000 0.5000
Pb 0.5000 0.5000 0.0000
! - energy of formation (meV per atom) = 375
! - magnetization (Bohr magnetons per cell) = 0.0
! - symmetry = P4/mmm, No. 123
! - electronic total energy (eV/atom) = -4.3775

---

(9)
! NbReAs2Os, optimized geometry, DFT PBEsol; values from VASP
&SYSTEM
  ibrav = 0, nat = 5, ntyp = 4
/
ATOMIC_SPECIES
Nb 92.91 Nb.upf
Re 186.21 Re.upf
As 74.92 As.upf
Os 190.23 Os.upf
CELL_PARAMETERS angstrom
4.6444 0.0000 0.0000
0.0000 4.6444 0.0000
0.0000 0.0000 4.7733
ATOMIC_POSITIONS crystal
Nb 0.0000 0.0000 0.0000
Re 0.5000 0.5000 0.5000
As 0.0000 0.5000 0.5000
As 0.5000 0.0000 0.5000
Os 0.5000 0.5000 0.0000
! - energy of formation (meV per atom) = 1475
! - magnetization (Bohr magnetons per cell) = 1.9
! - symmetry = P4/mmm, No. 123
! - electronic total energy (eV/atom) = -7.8413

---

(10)
! Co2Se, optimized geometry, DFT PBEsol; values from VASP
&SYSTEM
  ibrav = 0, nat = 6, ntyp = 2
/
ATOMIC_SPECIES
Co 58.93 Co.upf
Se 78.96 Se.upf
CELL_PARAMETERS angstrom
-1.4688 1.4688 8.9093
1.4688 -1.4688 8.9093
1.4688 1.4688 -8.9093
ATOMIC_POSITIONS crystal
Co 0.3025 0.5525 0.7500
Co 0.4475 0.6975 0.7500
Co 0.5525 0.3025 0.2500
Co 0.6975 0.4475 0.2500
Se 0.1250 0.8750 0.2500
Se 0.8750 0.1250 0.7500
! - raw formation energy (eV/atom) = 0.372
! - magnetization (Bohr magnetons per cell) = 4.0
! - symmetry = I4_1/amd, No. 141
! - electronic total energy (eV/atom) = -6.0698

---

(11)
! NaTe2Au, optimized geometry, DFT PBEsol; values from VASP
&SYSTEM
  ibrav = 0, nat = 4, ntyp = 3
/
ATOMIC_SPECIES
Na 22.99 Na.upf
Te 127.60 Te.upf
Au 196.97 Au.upf
CELL_PARAMETERS angstrom
2.0249 1.1691 8.9652
-2.0249 1.1691 8.9652
0.0000 -2.3381 8.9652
ATOMIC_POSITIONS crystal
Na 0.0000 0.0000 0.0000
Te 0.1101 0.1101 0.1101
Te 0.8899 0.8899 0.8899
Au 0.5000 0.5000 0.5000
! - raw formation energy (eV/atom) = -0.087
! - magnetization (Bohr magnetons per cell) = 0.0
! - symmetry = R-3m, No. 166
! - electronic total energy (eV/atom) = -3.1807

---

(12)
! CdPb2, optimized geometry, DFT PBEsol; values from VASP
&SYSTEM
  ibrav = 0, nat = 6, ntyp = 2
/
ATOMIC_SPECIES
Cd 112.41 Cd.upf
Pb 207.20 Pb.upf
CELL_PARAMETERS angstrom
7.1454 -1.6948 0.0000
7.1454 1.6948 0.0000
-1.4522 0.0000 6.7411
ATOMIC_POSITIONS crystal
Cd 0.1670 0.1670 0.3441
Cd 0.8330 0.8330 0.6559
Pb 0.1745 0.1745 0.8219
Pb 0.5000 0.5000 0.0000
Pb 0.5000 0.5000 0.5000
Pb 0.8255 0.8255 0.1781
! - energy of formation (meV per atom) = 54
! - magnetization (Bohr magnetons per cell) = 0.0
! - symmetry = C2/m, No. 12
! - electronic total energy (eV/atom) = -3.0109

---

Q: Which value of electronic total energy does entry 9 give?
A: -7.8413 eV/atom